1.
DFT (PBE-GGA) results for a relaxed HoBeSb crystal.

a = 4.834 Å, b = 4.834 Å, c = 4.834 Å
α = 60.00°, β = 60.00°, γ = 60.00°
Atoms (fractional coordinates):
Be 0.250 0.250 0.250
Ho 0.000 0.000 0.000
Sb 0.750 0.750 0.750

## Properties
For the offset from the most stable computed form, the calculation gives 0 meV per atom. For the volume, the calculation gives 26.63 Å³ per atom. The space group is F-43m, No. 216. For the total energy, the calculation gives -3.96 eV/atom. Its total magnetization is 0.0 μB per cell.

2.
DFT (PBE-GGA) results for a relaxed TlZnSeF crystal.

a = 6.582 Å, b = 6.832 Å, c = 7.812 Å
α = 90.00°, β = 90.00°, γ = 90.00°
Atoms (fractional coordinates):
F 0.965 0.475 0.215
F 0.465 0.525 0.285
F 0.035 0.025 0.715
F 0.535 0.975 0.785
Se 0.149 0.921 0.142
Se 0.649 0.079 0.358
Se 0.851 0.579 0.642
Se 0.351 0.421 0.858
Tl 0.706 0.776 0.059
Tl 0.206 0.224 0.441
Tl 0.294 0.724 0.559
Tl 0.794 0.276 0.941
Zn 0.230 0.586 0.103
Zn 0.730 0.414 0.397
Zn 0.770 0.914 0.603
Zn 0.270 0.086 0.897

## Properties
For the offset from the most stable computed form, the calculation gives 17 meV per atom. For the volume, the calculation gives 21.96 Å³ per atom. The space group is P2_12_12_1, No. 19. For the total energy, the calculation gives -3.37 eV/atom.